Entry 1:
LiCo2IrC: optimized geometry, PBE-GGA.

abc: 3.775 3.775 3.987
angles: 90.00 90.00 90.00
Fractional positions:
C 0.000 0.000 0.000
Ir 0.000 0.000 0.500
Co 0.000 0.500 0.000
Co 0.500 0.000 0.000
Li 0.500 0.500 0.500

Values from the calculation:
E_form = 0.3 eV/f.u.

---

Entry 2:
Zn3PtPb: optimized geometry, PBE-GGA.

abc: 5.083 5.083 5.083
angles: 90.00 90.00 90.00
Fractional positions:
Pb 0.000 0.000 0.000
Zn 0.000 0.500 0.000
Zn 0.000 0.000 0.500
Zn 0.500 0.000 0.000
Pt 0.500 0.500 0.500

Values from the calculation:
E_form = 5.0 eV/f.u.

---

Entry 3:
Sc3MnSe6: optimized geometry, PBE-GGA.

abc: 7.841 7.841 7.841
angles: 90.03 90.03 90.03
Fractional positions:
Sc 0.431 0.922 0.764
Sc 0.922 0.764 0.431
Sc 0.236 0.569 0.078
Sc 0.764 0.431 0.922
Sc 0.078 0.236 0.569
Sc 0.569 0.078 0.236
Mn 0.000 0.000 0.000
Mn 0.500 0.500 0.500
Se 0.312 0.907 0.092
Se 0.093 0.908 0.688
Se 0.583 0.809 0.465
Se 0.908 0.688 0.093
Se 0.465 0.583 0.809
Se 0.191 0.535 0.417
Se 0.809 0.465 0.583
Se 0.535 0.417 0.191
Se 0.092 0.312 0.907
Se 0.417 0.191 0.535
Se 0.907 0.092 0.312
Se 0.688 0.093 0.908

Values from the calculation:
Excess energy over the best structure of this formula in the dataset = 8.7 meV per atom
Uncorrected formation energy = -1300 meV/atom

---

Entry 4:
Ca3Hg2Pd4: optimized geometry, PBE-GGA.

abc: 4.309 5.338 9.601
angles: 86.71 77.03 66.20
Fractional positions:
Ca 0.296 0.785 0.623
Ca 0.000 0.000 0.000
Ca 0.704 0.215 0.377
Hg 0.509 0.779 0.203
Hg 0.491 0.221 0.797
Pd 0.252 0.397 0.100
Pd 0.748 0.603 0.900
Pd 0.005 0.368 0.622
Pd 0.995 0.632 0.378

Values from the calculation:
Excess energy over the best structure of this formula in the dataset = 27.3 meV per atom
E_form = -5.0 eV/f.u.

---

no.,calculated volume (Å³/cell)
1,57
2,131
3,482
4,197